Y3ZnCd3Hg2 | PBE | relaxed

```
Y3ZnCd3Hg2
1.0
7.8238 0.0000 0.0000
-3.9119 6.7756 0.0000
0.0000 0.0000 3.9960
Y Zn Cd Hg
3 1 3 2
Direct
0.0000 0.4048 0.0000 Y
0.4048 0.0000 0.0000 Y
0.5952 0.5952 0.0000 Y
0.0000 0.0000 0.0000 Zn
0.0000 0.7523 0.5000 Cd
0.2477 0.2477 0.5000 Cd
0.7523 0.0000 0.5000 Cd
0.3333 0.6667 0.5000 Hg
0.6667 0.3333 0.5000 Hg
```

Calculated values
Symmetry: P-62m, No. 189
DFT formation energy (eV/atom): -0.426
Final energy (eV/atom): -3.087
Volume (Å³/f.u.): 211.83